DFT (PBE) results for a geometry-optimized Ba2NaNiPb structure.

Values from the calculation:
The formation energy comes out at -0.14 eV/atom. The total moment is 0.00 μB per atom. The value obtained for the calculated total energy is -3.071 eV/atom.

POSCAR file:
```
Ba2NaNiPb
1.0
6.211 0.000 0.000
0.000 6.211 0.000
0.000 0.000 5.018
Pb Ni Ba Na
1 1 2 1
Direct
0.000 0.000 0.500
0.000 0.000 0.000
0.000 0.500 0.000
0.500 0.000 0.000
0.500 0.500 0.500
```